Arrangement w

DFT (PBE) results for AgTeIO2 after structural relaxation.

Cell: 4.108 4.108 6.857 Å, 90.00 90.00 90.00°
Space group P4/mmm (No. 123)
Asymmetric unit:
1 Ag 0.000 0.000 0.000 x1
2 Te 0.500 0.500 0.500 x1
3 I 0.500 0.500 0.000 x1
4 O 0.000 0.500 0.500 x2

The density of states at the Fermi level is 0.56 states/eV/f.u. The spin magnetization comes out at 0.00 μB/f.u.

Arrangement x

DFT (PBE) results for AgTeIO2 after structural relaxation.

Cell: 7.598 4.179 8.857 Å, 90.00 114.20 90.00°
Space group P2_1/m (No. 11)
Asymmetric unit:
1 Ag 0.137 0.250 0.111 x2
2 Te 0.412 0.250 0.607 x2
3 I 0.058 0.250 0.768 x2
4 O 0.379 0.750 0.195 x2
5 O 0.460 0.750 0.559 x2

The spin magnetization comes out at 0.00 μB/f.u.

What are the relative energies? In meV per atom: arrangement w 250; arrangement x 0.

Arrangement w

DFT (PBE) results for AgTe2IO after structural relaxation.

Cell: 4.440 4.440 8.063 Å, 90.00 90.00 90.00°
Space group P4/mmm (No. 123)
Asymmetric unit:
1 Ag 0.000 0.000 0.000 x1
2 Te 0.000 0.500 0.500 x2
3 I 0.500 0.500 0.000 x1
4 O 0.500 0.500 0.500 x1

The density of states at the Fermi level is 4.63 states/eV/f.u. The spin magnetization comes out at 0.00 μB/f.u.

Arrangement x

DFT (PBE) results for AgTe2IO after structural relaxation.

Cell: 5.430 5.430 5.487 Å, 90.00 90.00 90.00°
Space group P4/mmm (No. 123)
Asymmetric unit:
1 Ag 0.000 0.000 0.000 x1
2 Te 0.000 0.500 0.000 x2
3 I 0.000 0.000 0.500 x1
4 O 0.500 0.500 0.500 x1

The density of states at the Fermi level is 13.41 states/eV/f.u. The spin magnetization comes out at 0.00 μB/f.u.

What are the relative energies? In meV per atom: arrangement w 0; arrangement x 949.